Entry 1:
# GGA-PBE NbCrAsBr2, optimized geometry
# - ΔE to the lowest computed polymorph (eV/atom) = 0.2631
# - space-group type = P4/mmm (123)
# - calculated volume (Å³/cell) = 121.3
# - D(E_F) (states/eV/cell) = 4.41
# - formation energy (no corrections) (meV per atom) = 621
# - crystal system = tetragonal
data_NbCrAsBr2
_symmetry_space_group_name_H-M 'P 1'
_symmetry_Int_Tables_number 1
_cell_length_a 4.966
_cell_length_b 4.966
_cell_length_c 4.921
_cell_angle_alpha 90.00
_cell_angle_beta 90.00
_cell_angle_gamma 90.00
loop_
_symmetry_equiv_pos_as_xyz
'x,y,z'
loop_
_atom_site_label
_atom_site_type_symbol
_atom_site_fract_x
_atom_site_fract_y
_atom_site_fract_z
_atom_site_occupancy
Br1 Br 0.000 0.500 0.000 1
Br2 Br 0.500 0.000 0.000 1
Nb1 Nb 0.500 0.500 0.500 1
Cr1 Cr 0.000 0.000 0.000 1
As1 As 0.000 0.000 0.500 1



Entry 2:
# GGA-PBE Tb2Ho3ErTe6, optimized geometry
# - space-group type = C2/m (12)
# - calculated volume (Å³/cell) = 347.7
# - D(E_F) (states/eV/cell) = 6.43
# - formation energy (no corrections) (meV per atom) = -1261
# - crystal system = monoclinic
data_Tb2Ho3ErTe6
_symmetry_space_group_name_H-M 'P 1'
_symmetry_Int_Tables_number 1
_cell_length_a 4.324
_cell_length_b 8.729
_cell_length_c 9.705
_cell_angle_alpha 102.81
_cell_angle_beta 102.87
_cell_angle_gamma 90.00
loop_
_symmetry_equiv_pos_as_xyz
'x,y,z'
loop_
_atom_site_label
_atom_site_type_symbol
_atom_site_fract_x
_atom_site_fract_y
_atom_site_fract_z
_atom_site_occupancy
Te1 Te 0.001 0.752 0.002 1
Te2 Te 0.999 0.248 0.998 1
Te3 Te 0.665 0.584 0.330 1
Te4 Te 0.335 0.416 0.670 1
Te5 Te 0.665 0.080 0.330 1
Te6 Te 0.335 0.920 0.670 1
Tb1 Tb 0.832 0.665 0.663 1
Tb2 Tb 0.168 0.335 0.337 1
Ho1 Ho 0.500 0.500 0.000 1
Ho2 Ho 0.169 0.833 0.338 1
Ho3 Ho 0.831 0.167 0.662 1
Er1 Er 0.500 0.000 0.000 1



Entry 3:
# GGA-PBE CaFe2Os, optimized geometry
# - ΔE to the lowest computed polymorph (eV/atom) = 0.0809
# - space-group type = P4mm (99)
# - calculated formation energy (eV/atom) = 0.398
# - calculated volume (Å³/cell) = 63.9
# - D(E_F) (states/eV/cell) = 4.75
# - crystal system = tetragonal
data_CaFe2Os
_symmetry_space_group_name_H-M 'P 1'
_symmetry_Int_Tables_number 1
_cell_length_a 2.957
_cell_length_b 2.957
_cell_length_c 7.305
_cell_angle_alpha 90.00
_cell_angle_beta 90.00
_cell_angle_gamma 90.00
loop_
_symmetry_equiv_pos_as_xyz
'x,y,z'
loop_
_atom_site_label
_atom_site_type_symbol
_atom_site_fract_x
_atom_site_fract_y
_atom_site_fract_z
_atom_site_occupancy
Ca1 Ca 0.500 0.500 0.751 1
Fe1 Fe 0.500 0.500 0.243 1
Fe2 Fe 0.000 0.000 0.069 1
Os1 Os 0.000 0.000 0.437 1



Entry 4:
# GGA-PBE Er5ScHg6, optimized geometry
# - space-group type = P2/m (10)
# - calculated formation energy (eV/atom) = -0.468
# - calculated volume (Å³/cell) = 295.2
# - D(E_F) (states/eV/cell) = 9.68
# - crystal system = monoclinic
data_Er5ScHg6
_symmetry_space_group_name_H-M 'P 1'
_symmetry_Int_Tables_number 1
_cell_length_a 5.164
_cell_length_b 7.345
_cell_length_c 8.185
_cell_angle_alpha 90.00
_cell_angle_beta 71.97
_cell_angle_gamma 90.00
loop_
_symmetry_equiv_pos_as_xyz
'x,y,z'
loop_
_atom_site_label
_atom_site_type_symbol
_atom_site_fract_x
_atom_site_fract_y
_atom_site_fract_z
_atom_site_occupancy
Hg1 Hg 0.837 0.755 0.327 1
Hg2 Hg 0.163 0.245 0.673 1
Hg3 Hg 0.837 0.245 0.327 1
Hg4 Hg 0.500 0.756 0.000 1
Hg5 Hg 0.163 0.755 0.673 1
Hg6 Hg 0.500 0.244 0.000 1
Er1 Er 0.000 0.500 0.000 1
Er2 Er 0.335 0.000 0.330 1
Er3 Er 0.665 0.000 0.670 1
Er4 Er 0.332 0.500 0.337 1
Er5 Er 0.668 0.500 0.663 1
Sc1 Sc 0.000 0.000 0.000 1



Entry 5:
# GGA-PBE ZrBeGe2Ru, optimized geometry
# - space-group type = P4/mmm (123)
# - calculated formation energy (eV/atom) = 1.404
# - calculated volume (Å³/cell) = 132.6
# - D(E_F) (states/eV/cell) = 4.84
# - crystal system = tetragonal
data_ZrBeGe2Ru
_symmetry_space_group_name_H-M 'P 1'
_symmetry_Int_Tables_number 1
_cell_length_a 5.240
_cell_length_b 4.829
_cell_length_c 5.240
_cell_angle_alpha 90.00
_cell_angle_beta 90.00
_cell_angle_gamma 90.00
loop_
_symmetry_equiv_pos_as_xyz
'x,y,z'
loop_
_atom_site_label
_atom_site_type_symbol
_atom_site_fract_x
_atom_site_fract_y
_atom_site_fract_z
_atom_site_occupancy
Ru1 Ru 0.000 0.500 0.000 1
Ge1 Ge 0.500 0.000 0.000 1
Ge2 Ge 0.000 0.000 0.500 1
Be1 Be 0.500 0.500 0.500 1
Zr1 Zr 0.000 0.000 0.000 1



Entry 6:
# GGA-PBE TbErThPa, optimized geometry
# - space-group type = F-43m (216)
# - calculated formation energy (eV/atom) = 0.359
# - calculated volume (Å³/cell) = 120.1
# - D(E_F) (states/eV/cell) = 12.95
# - crystal system = cubic
data_TbErThPa
_symmetry_space_group_name_H-M 'P 1'
_symmetry_Int_Tables_number 1
_cell_length_a 5.538
_cell_length_b 5.538
_cell_length_c 5.538
_cell_angle_alpha 60.00
_cell_angle_beta 60.00
_cell_angle_gamma 60.00
loop_
_symmetry_equiv_pos_as_xyz
'x,y,z'
loop_
_atom_site_label
_atom_site_type_symbol
_atom_site_fract_x
_atom_site_fract_y
_atom_site_fract_z
_atom_site_occupancy
Er1 Er 0.250 0.250 0.250 1
Tb1 Tb 0.500 0.500 0.500 1
Pa1 Pa 0.000 0.000 0.000 1
Th1 Th 0.750 0.750 0.750 1



Entry 7:
# GGA-PBE RbCa2Rh, optimized geometry
# - ΔE to the lowest computed polymorph (eV/atom) = 0.0594
# - space-group type = R-3m (166)
# - calculated formation energy (eV/atom) = -0.043
# - calculated volume (Å³/cell) = 175.4
# - D(E_F) (states/eV/cell) = 2.71
# - crystal system = trigonal
data_RbCa2Rh
_symmetry_space_group_name_H-M 'P 1'
_symmetry_Int_Tables_number 1
_cell_length_a 4.247
_cell_length_b 4.247
_cell_length_c 11.492
_cell_angle_alpha 79.35
_cell_angle_beta 79.35
_cell_angle_gamma 60.00
loop_
_symmetry_equiv_pos_as_xyz
'x,y,z'
loop_
_atom_site_label
_atom_site_type_symbol
_atom_site_fract_x
_atom_site_fract_y
_atom_site_fract_z
_atom_site_occupancy
Rh1 Rh 0.500 0.500 0.500 1
Ca1 Ca 0.875 0.875 0.376 1
Ca2 Ca 0.125 0.125 0.624 1
Rb1 Rb 0.000 0.000 0.000 1



Entry 8:
# GGA-PBE BaAsPd3Au, optimized geometry
# - space-group type = Cmcm (63)
# - calculated formation energy (eV/atom) = -0.446
# - calculated volume (Å³/cell) = 283.1
# - D(E_F) (states/eV/cell) = 5.09
# - crystal system = orthorhombic
data_BaAsPd3Au
_symmetry_space_group_name_H-M 'P 1'
_symmetry_Int_Tables_number 1
_cell_length_a 6.328
_cell_length_b 7.352
_cell_length_c 7.109
_cell_angle_alpha 121.13
_cell_angle_beta 90.00
_cell_angle_gamma 90.00
loop_
_symmetry_equiv_pos_as_xyz
'x,y,z'
loop_
_atom_site_label
_atom_site_type_symbol
_atom_site_fract_x
_atom_site_fract_y
_atom_site_fract_z
_atom_site_occupancy
Au1 Au 0.250 0.511 0.023 1
Au2 Au 0.750 0.489 0.977 1
Pd1 Pd 0.000 0.199 0.000 1
Pd2 Pd 0.000 0.801 0.000 1
Pd3 Pd 0.500 0.199 0.000 1
Pd4 Pd 0.250 0.292 0.584 1
Pd5 Pd 0.750 0.708 0.416 1
Pd6 Pd 0.500 0.801 0.000 1
As1 As 0.750 0.903 0.807 1
As2 As 0.250 0.097 0.193 1
Ba1 Ba 0.750 0.224 0.448 1
Ba2 Ba 0.250 0.776 0.552 1



Entry 9:
# GGA-PBE MgP2, optimized geometry
# - space-group type = I4/mmm (139)
# - calculated formation energy (eV/atom) = -0.045
# - calculated volume (Å³/cell) = 69.4
# - D(E_F) (states/eV/cell) = 0.83
# - crystal system = tetragonal
data_MgP2
_symmetry_space_group_name_H-M 'P 1'
_symmetry_Int_Tables_number 1
_cell_length_a 6.174
_cell_length_b 6.174
_cell_length_c 6.174
_cell_angle_alpha 147.03
_cell_angle_beta 147.03
_cell_angle_gamma 47.31
loop_
_symmetry_equiv_pos_as_xyz
'x,y,z'
loop_
_atom_site_label
_atom_site_type_symbol
_atom_site_fract_x
_atom_site_fract_y
_atom_site_fract_z
_atom_site_occupancy
Mg1 Mg 0.000 0.000 0.000 1
P1 P 0.595 0.595 0.000 1
P2 P 0.405 0.405 0.000 1



Entry 10:
# GGA-PBE CuIr2, optimized geometry
# - ΔE to the lowest computed polymorph (eV/atom) = 0.3805
# - space-group type = P6_3/mmc (194)
# - calculated formation energy (eV/atom) = 0.441
# - calculated volume (Å³/cell) = 188.1
# - D(E_F) (states/eV/cell) = 13.18
# - crystal system = hexagonal
data_CuIr2
_symmetry_space_group_name_H-M 'P 1'
_symmetry_Int_Tables_number 1
_cell_length_a 5.209
_cell_length_b 5.209
_cell_length_c 8.005
_cell_angle_alpha 90.00
_cell_angle_beta 90.00
_cell_angle_gamma 120.00
loop_
_symmetry_equiv_pos_as_xyz
'x,y,z'
loop_
_atom_site_label
_atom_site_type_symbol
_atom_site_fract_x
_atom_site_fract_y
_atom_site_fract_z
_atom_site_occupancy
Ir1 Ir 0.000 0.000 0.500 1
Ir2 Ir 0.175 0.350 0.750 1
Ir3 Ir 0.000 0.000 0.000 1
Ir4 Ir 0.650 0.825 0.750 1
Ir5 Ir 0.175 0.825 0.750 1
Ir6 Ir 0.350 0.175 0.250 1
Ir7 Ir 0.825 0.650 0.250 1
Ir8 Ir 0.825 0.175 0.250 1
Cu1 Cu 0.667 0.333 0.912 1
Cu2 Cu 0.333 0.667 0.412 1
Cu3 Cu 0.333 0.667 0.088 1
Cu4 Cu 0.667 0.333 0.588 1